(1)
Crystalline RbSi3Ge at its relaxed geometry, computed with GGA-PBE.

Summary:
* energy relative to the elements, uncorrected: 2305 meV per atom
* offset from the most stable computed form: 1461 meV per atom

Cell lengths 5.449, 5.449, 5.449 Å; angles 90.00, 90.00, 90.00 degrees
Fractional positions:
1 Si 0.000 0.500 0.000
2 Si 0.000 0.000 0.500
3 Rb 0.000 0.000 0.000
4 Si 0.500 0.000 0.000
5 Ge 0.500 0.500 0.500

---

(2)
Crystalline K4AgTe3O12 at its relaxed geometry, computed with GGA-PBE.

Summary:
* energy relative to the elements, uncorrected: -1075 meV per atom

Cell lengths 7.150, 7.150, 7.150 Å; angles 109.47, 109.47, 109.47 degrees
Fractional positions:
1 O 0.273 0.273 0.000
2 O 0.273 0.000 0.273
3 O 0.000 0.727 0.727
4 O 0.500 0.250 0.750
5 O 0.500 0.750 0.250
6 O 0.250 0.500 0.750
7 K 0.000 0.500 0.000
8 K 0.500 0.500 0.500
9 O 0.750 0.250 0.500
10 Te 0.000 0.500 0.500
11 O 0.727 0.727 0.000
12 Te 0.500 0.500 0.000
13 O 0.727 0.000 0.727
14 Te 0.500 0.000 0.500
15 K 0.000 0.000 0.500
16 K 0.500 0.000 0.000
17 O 0.750 0.500 0.250
18 O 0.250 0.750 0.500
19 O 0.000 0.273 0.273
20 Ag 0.000 0.000 0.000

---

(3)
Crystalline LiPmYS3 at its relaxed geometry, computed with GGA-PBE.

Summary:
* energy relative to the elements, uncorrected: -1830 meV per atom

Cell lengths 3.852, 8.119, 8.427 Å; angles 102.40, 90.00, 90.00 degrees
Fractional positions:
1 Li 0.250 0.087 0.584
2 Y 0.750 0.338 0.834
3 S 0.750 0.214 0.496
4 S 0.250 0.097 0.867
5 S 0.750 0.426 0.171
6 Pm 0.250 0.186 0.221
7 S 0.250 0.574 0.829
8 Pm 0.750 0.814 0.779
9 S 0.750 0.903 0.133
10 Li 0.750 0.913 0.416
11 Y 0.250 0.662 0.166
12 S 0.250 0.786 0.504

---

(4)
Crystalline SrTb2ErSe4 at its relaxed geometry, computed with GGA-PBE.

Summary:
* energy relative to the elements, uncorrected: -1788 meV per atom

Cell lengths 4.130, 7.209, 7.199 Å; angles 70.94, 90.00, 90.00 degrees
Fractional positions:
1 Tb 0.500 0.000 0.500
2 Se 0.000 0.758 0.738
3 Se 0.500 0.751 0.259
4 Se 0.500 0.249 0.741
5 Tb 0.000 0.000 0.000
6 Se 0.000 0.242 0.262
7 Sr 0.500 0.500 0.000
8 Er 0.000 0.500 0.500

---

(5)
Crystalline CuTe2Au2 at its relaxed geometry, computed with GGA-PBE.

Summary:
* energy relative to the elements, uncorrected: 256 meV per atom
* offset from the most stable computed form: 67 meV per atom

Cell lengths 7.304, 7.304, 4.138 Å; angles 90.00, 90.00, 90.00 degrees
Fractional positions:
1 Au 0.361 0.861 0.000
2 Te 0.177 0.677 0.500
3 Au 0.139 0.361 0.000
4 Au 0.639 0.139 0.000
5 Te 0.823 0.323 0.500
6 Te 0.323 0.177 0.500
7 Cu 0.500 0.500 0.000
8 Te 0.677 0.823 0.500
9 Cu 0.000 0.000 0.000
10 Au 0.861 0.639 0.000

---

(6)
Crystalline Tb2LuPd at its relaxed geometry, computed with GGA-PBE.

Summary:
* offset from the most stable computed form: 0 meV per atom

Cell lengths 3.585, 3.585, 8.254 Å; angles 90.00, 90.00, 90.00 degrees
Fractional positions:
1 Pd 0.500 0.500 0.000
2 Tb 0.000 0.000 0.796
3 Lu 0.500 0.500 0.500
4 Tb 0.000 0.000 0.204

---

(7)
Crystalline Nb3Te4ClO15 at its relaxed geometry, computed with GGA-PBE.

Summary:
* energy relative to the elements, uncorrected: -1710 meV per atom

Cell lengths 10.497, 10.497, 21.624 Å; angles 65.59, 65.59, 44.89 degrees
Fractional positions:
1 O 0.013 0.742 0.492
2 O 0.917 0.097 0.080
3 Nb 0.253 0.989 0.513
4 Te 0.601 0.742 0.624
5 Nb 0.011 0.747 0.987
6 O 0.477 0.665 0.948
7 O 0.236 0.054 0.595
8 O 0.746 0.469 0.037
9 O 0.030 0.256 0.327
10 Nb 0.518 0.243 0.991
11 O 0.809 0.634 0.433
12 O 0.930 0.608 0.254
13 O 0.354 0.625 0.408
14 O 0.054 0.236 0.095
15 O 0.634 0.809 0.933
16 O 0.254 0.531 0.963
17 Te 0.258 0.399 0.876
18 Cl 0.980 0.020 0.750
19 O 0.970 0.744 0.673
20 O 0.362 0.101 0.450
21 Nb 0.143 0.366 0.253
22 Te 0.867 0.996 0.636
23 O 0.256 0.030 0.827
24 Te 0.133 0.004 0.364
25 O 0.097 0.917 0.580
26 Nb 0.482 0.757 0.009
27 O 0.665 0.477 0.448
28 O 0.764 0.946 0.405
29 O 0.899 0.638 0.050
30 Nb 0.366 0.143 0.753
31 O 0.742 0.013 0.992
32 O 0.903 0.083 0.420
33 O 0.794 0.530 0.582
34 Nb 0.243 0.518 0.491
35 O 0.366 0.191 0.067
36 O 0.191 0.366 0.567
37 O 0.912 0.665 0.818
38 O 0.766 0.664 0.675
39 O 0.470 0.206 0.918
40 O 0.101 0.362 0.950
41 Te 0.762 0.879 0.858
42 Te 0.004 0.133 0.864
43 Te 0.516 0.388 0.128
44 O 0.530 0.794 0.082
45 O 0.608 0.930 0.754
46 O 0.234 0.336 0.325
47 O 0.083 0.903 0.920
48 O 0.625 0.354 0.908
49 O 0.744 0.970 0.173
50 Te 0.238 0.121 0.142
51 Te 0.399 0.258 0.376
52 Cl 0.020 0.980 0.250
53 Te 0.388 0.516 0.628
54 O 0.523 0.335 0.052
55 O 0.088 0.335 0.182
56 O 0.987 0.258 0.508
57 O 0.964 0.230 0.934
58 O 0.665 0.912 0.318
59 O 0.664 0.766 0.175
60 O 0.469 0.746 0.537
61 O 0.638 0.899 0.550
62 Te 0.484 0.612 0.872
63 O 0.335 0.088 0.682
64 Nb 0.989 0.253 0.013
65 O 0.531 0.254 0.463
66 Te 0.996 0.867 0.136
67 O 0.036 0.770 0.066
68 O 0.375 0.646 0.092
69 O 0.299 0.421 0.180
70 O 0.646 0.375 0.592
71 O 0.230 0.964 0.434
72 O 0.946 0.764 0.905
73 O 0.336 0.234 0.825
74 O 0.258 0.987 0.008
75 Cl 0.517 0.483 0.250
76 Te 0.612 0.484 0.372
77 Nb 0.634 0.857 0.247
78 Te 0.742 0.601 0.124
79 Nb 0.757 0.482 0.509
80 Nb 0.747 0.011 0.487
81 O 0.770 0.036 0.566
82 O 0.206 0.470 0.418
83 Cl 0.483 0.517 0.750
84 O 0.070 0.392 0.746
85 O 0.421 0.299 0.680
86 O 0.579 0.701 0.320
87 Nb 0.857 0.634 0.747
88 O 0.335 0.523 0.552
89 O 0.392 0.070 0.246
90 O 0.701 0.579 0.820
91 Te 0.121 0.238 0.642
92 Te 0.879 0.762 0.358

---

(8)
Crystalline Be2SbP at its relaxed geometry, computed with GGA-PBE.

Summary:
* energy relative to the elements, uncorrected: 737 meV per atom
* offset from the most stable computed form: 692 meV per atom

Cell lengths 4.398, 4.398, 4.398 Å; angles 60.00, 60.00, 60.00 degrees
Fractional positions:
1 Sb 0.500 0.500 0.500
2 P 0.000 0.000 0.000
3 Be 0.750 0.750 0.750
4 Be 0.250 0.250 0.250

---

(9)
Crystalline ZrMnNi3 at its relaxed geometry, computed with GGA-PBE.

Summary:
* offset from the most stable computed form: 0 meV per atom

Cell lengths 4.287, 4.287, 4.287 Å; angles 90.00, 90.00, 90.00 degrees
Last column: magnetic moment on the atom in μB.
Fractional positions:
1 Zr 0.500 0.500 0.500  -0.21
2 Ni 0.500 0.000 0.000  0.26
3 Ni 0.000 0.000 0.500  0.69
4 Mn 0.000 0.000 0.000  2.58
5 Ni 0.000 0.500 0.000  0.39

---

(10)
Crystalline PrSmTm2 at its relaxed geometry, computed with GGA-PBE.

Summary:
* offset from the most stable computed form: 1 meV per atom

Cell lengths 7.283, 6.309, 13.063 Å; angles 118.94, 90.00, 90.00 degrees
Fractional positions:
1 Tm 0.001 0.040 0.375
2 Sm 0.500 0.041 0.375
3 Tm 0.999 0.960 0.625
4 Sm 0.500 0.959 0.625
5 Tm 0.001 0.460 0.125
6 Tm 0.755 0.459 0.628
7 Sm 0.500 0.459 0.125
8 Pr 0.752 0.544 0.378
9 Sm 0.500 0.541 0.875
10 Tm 0.245 0.541 0.372
11 Tm 0.245 0.959 0.128
12 Tm 0.755 0.041 0.872
13 Tm 0.999 0.540 0.875
14 Pr 0.752 0.956 0.122
15 Pr 0.248 0.456 0.622
16 Pr 0.248 0.044 0.878

---

VASP energy in eV/atom, matching the order above: -2.0659 -4.8830 -6.0822 -5.4688 -3.1305 -5.1327 -6.8834 -3.5089 -6.4432 -4.5910